# 1
RbY2ICl | GGA-PBE | relaxed

energy relative to the elements, uncorrected = -110 meV per atom
raw total energy = -17.8 eV per cell

Geometry as extended XYZ:
```
5
Lattice="5.704 0.000 0.000 0.000 7.539 0.000 0.000 0.000 5.704" Properties=species:S:1:pos:R:3 pbc="T T T"
Rb 2.852 3.769 2.852
Y 0.000 0.000 2.852
Y 2.852 0.000 0.000
I 0.000 0.000 0.000
Cl 0.000 3.769 0.000
```

---

# 2
Ce2PmIrN4 | GGA-PBE | relaxed

energy relative to the elements, uncorrected = -999 meV per atom
raw total energy = -133.6 eV per cell

Geometry as extended XYZ:
```
16
Lattice="3.405 0.000 0.000 -1.702 5.974 0.000 0.000 0.000 11.876" Properties=species:S:1:pos:R:3 pbc="T T T"
N 0.000 3.283 1.463
N 1.702 2.691 7.401
N 0.000 3.283 4.475
N 1.702 0.544 2.969
N 0.000 5.430 8.907
N 0.000 0.000 5.938
N 0.000 0.000 0.000
N 1.702 2.691 10.413
Pm 0.000 1.319 8.907
Pm 1.702 4.656 2.969
Ir 0.000 1.810 2.969
Ir 1.702 4.164 8.907
Ce 1.702 1.556 5.327
Ce 0.000 4.418 6.549
Ce 1.702 1.556 0.611
Ce 0.000 4.418 11.265
```